Record 1
Material: AgPdO3
Method: DFT, GGA-PBE
State: relaxed

Output
For the volume, the calculation gives 12.0 A^3/atom. The total energy is -0.3487 Ry per atom.

a b c (Å): 5.3012 5.3012 5.8121
angles (deg): 62.87 62.87 60.00
Closest atoms and distances in Å follow each position.
Element x y z (fractional)
Ag: 0.6400 0.6400 0.0799  6 O 2.18-2.38
Ag: 0.3600 0.3600 0.9201  6 O 2.18-2.38
O: 0.5613 0.2131 0.2732  2 Pd 2.02-2.03, 1 Ag 2.18
O: 0.9525 0.5613 0.2732  2 Pd 2.02-2.03, 1 Ag 2.18
O: 0.2131 0.9525 0.2732  2 Pd 2.02-2.03, 1 Ag 2.18
O: 0.7869 0.0475 0.7268  2 Pd 2.02-2.03, 1 Ag 2.18
O: 0.0475 0.4387 0.7268  2 Pd 2.02-2.03, 1 Ag 2.18
O: 0.4387 0.7869 0.7268  2 Pd 2.02-2.03, 1 Ag 2.18
Pd: 0.8398 0.8398 0.4805  6 O 2.02-2.03
Pd: 0.1602 0.1602 0.5195  6 O 2.02-2.03

=====

Record 2
Material: AgPdO3
Method: DFT, GGA-PBE
State: relaxed

Output
For the volume, the calculation gives 11.3 A^3/atom. The total energy is -0.3408 Ry per atom.

a b c (Å): 5.2999 5.5262 7.7190
angles (deg): 90.00 90.00 90.00
Closest atoms and distances in Å follow each position.
Element x y z (fractional)
Ag: 0.9858 0.0747 0.2500  6 O 2.14-2.38
Ag: 0.5142 0.5747 0.2500  6 O 2.14-2.38
Ag: 0.4858 0.4253 0.7500  6 O 2.14-2.38
Ag: 0.0142 0.9253 0.7500  6 O 2.14-2.38
O: 0.6970 0.2959 0.0752  2 Pd 2.03-2.05, 1 Ag 2.27
O: 0.8030 0.7959 0.0752  2 Pd 2.03-2.05, 1 Ag 2.27
O: 0.1374 0.4376 0.2500  2 Pd 2.09, 2 Ag 2.14-2.16
O: 0.3626 0.9376 0.2500  2 Pd 2.09, 2 Ag 2.14-2.16
O: 0.6970 0.2959 0.4248  2 Pd 2.03-2.05, 1 Ag 2.27
O: 0.8030 0.7959 0.4248  2 Pd 2.03-2.05, 1 Ag 2.27
O: 0.1970 0.2041 0.5752  2 Pd 2.03-2.05, 1 Ag 2.27
O: 0.3030 0.7041 0.5752  2 Pd 2.03-2.05, 1 Ag 2.27
O: 0.6374 0.0624 0.7500  2 Pd 2.09, 2 Ag 2.14-2.16
O: 0.8626 0.5624 0.7500  2 Pd 2.09, 2 Ag 2.14-2.16
O: 0.1970 0.2041 0.9248  2 Pd 2.03-2.05, 1 Ag 2.27
O: 0.3030 0.7041 0.9248  2 Pd 2.03-2.05, 1 Ag 2.27
Pd: 0.5000 0.0000 0.0000  6 O 2.03-2.09
Pd: 0.0000 0.5000 0.0000  6 O 2.03-2.09
Pd: 0.5000 0.0000 0.5000  6 O 2.03-2.09
Pd: 0.0000 0.5000 0.5000  6 O 2.03-2.09

=====

Record 3
Material: AgPdO3
Method: DFT, GGA-PBE
State: relaxed

Output
For the volume, the calculation gives 11.2 A^3/atom. The total energy is -0.3444 Ry per atom.

a b c (Å): 5.2422 5.2422 7.3057
angles (deg): 90.00 90.00 146.05
Closest atoms and distances in Å follow each position.
Element x y z (fractional)
Ag: 0.7492 0.2507 0.2500  8 O 2.27-2.48
Ag: 0.2507 0.7492 0.7500  8 O 2.27-2.48
O: 0.3716 0.6284 0.0464  2 Pd 2.03
O: 0.0816 0.9184 0.2500  2 Pd 2.00
O: 0.3716 0.6284 0.4536  2 Pd 2.03
O: 0.6284 0.3716 0.5464  2 Pd 2.03
O: 0.9184 0.0816 0.7500  2 Pd 2.00
O: 0.6284 0.3716 0.9536  2 Pd 2.03
Pd: 0.0000 0.0000 0.0000  6 O 2.00-2.03
Pd: 0.0000 0.0000 0.5000  6 O 2.00-2.03

=====

Record 4
Material: AgPdSeO
Method: DFT, GGA-PBE
State: relaxed

Output
For the volume, the calculation gives 17.5 A^3/atom. The total energy is -0.2839 Ry per atom. For the energy relative to the lowest polymorph listed for this composition, the calculation gives 0.396 eV/atom.

a b c (Å): 3.9428 3.9428 9.0300
angles (deg): 90.00 90.00 90.00
Closest atoms and distances in Å follow each position.
Element x y z (fractional)
Ag: 0.7500 0.7500 0.1523  1 O 2.20
Ag: 0.2500 0.2500 0.8477  1 O 2.20
O: 0.2500 0.2500 0.0909  1 Pd 1.95
O: 0.7500 0.7500 0.9091  1 Pd 1.95
Pd: 0.2500 0.2500 0.3071  1 O 1.95
Pd: 0.7500 0.7500 0.6929  1 O 1.95
Se: 0.7500 0.2500 0.5000  4 Pd 2.63, 4 Se 2.79
Se: 0.2500 0.7500 0.5000  4 Pd 2.63, 4 Se 2.79

=====

Record 5
Material: AgPdSeO
Method: DFT, GGA-PBE
State: relaxed

Output
For the volume, the calculation gives 16.8 A^3/atom. The total energy is -0.3093 Ry per atom. For the energy relative to the lowest polymorph listed for this composition, the calculation gives 0.050 eV/atom.

a b c (Å): 6.0986 6.7719 6.5047
angles (deg): 90.00 90.00 90.00
Closest atoms and distances in Å follow each position.
Element x y z (fractional)
Ag: 0.7463 0.7588 0.0002  2 O 2.53-2.54, 3 Se 2.75-2.83
Ag: 0.2537 0.2588 0.4998  2 O 2.53-2.54, 3 Se 2.75-2.83
Ag: 0.7537 0.2412 0.5002  2 O 2.53-2.54, 3 Se 2.75-2.83
Ag: 0.2463 0.7412 0.9998  2 O 2.53-2.54, 3 Se 2.75-2.83
O: 0.5013 0.2129 0.1919  2 Pd 1.99
O: 0.4987 0.7129 0.3081  2 Pd 1.99
O: 0.9987 0.7871 0.6919  2 Pd 1.99
O: 0.0013 0.2871 0.8081  2 Pd 1.99
Pd: 0.7513 0.2487 0.0000  2 O 1.99
Pd: 0.2513 0.2513 0.0000  2 O 1.99
Pd: 0.7487 0.7513 0.4999  2 O 1.99
Pd: 0.2487 0.7487 0.5001  2 O 1.99
Se: 0.0061 0.0146 0.2217  2 Pd 2.62-2.65, 4 Ag 2.75-2.88
Se: 0.9939 0.5146 0.2783  2 Pd 2.62-2.65, 4 Ag 2.75-2.88
Se: 0.4939 0.9854 0.7217  2 Pd 2.62-2.65, 4 Ag 2.75-2.88
Se: 0.5061 0.4854 0.7783  2 Pd 2.62-2.65, 4 Ag 2.75-2.88

=====

Record 6
Material: AgPdSeO
Method: DFT, GGA-PBE
State: relaxed

Output
For the volume, the calculation gives 16.9 A^3/atom. The total energy is -0.3114 Ry per atom. For the energy relative to the lowest polymorph listed for this composition, the calculation gives 0.021 eV/atom.

a b c (Å): 6.2006 7.5784 5.7575
angles (deg): 90.00 90.00 90.00
Closest atoms and distances in Å follow each position.
Element x y z (fractional)
Ag: 0.6473 0.2857 0.3735  1 O 2.13
Ag: 0.1473 0.7143 0.3735  1 O 2.13
Ag: 0.8527 0.2857 0.8735  1 O 2.13
Ag: 0.3527 0.7143 0.8735  1 O 2.13
O: 0.6392 0.0041 0.3753  2 Pd 2.04-2.05, 1 Ag 2.13
O: 0.1392 0.9959 0.3753  2 Pd 2.04-2.05, 1 Ag 2.13
O: 0.8608 0.0041 0.8753  2 Pd 2.04-2.05, 1 Ag 2.13
O: 0.3608 0.9959 0.8753  2 Pd 2.04-2.05, 1 Ag 2.13
Pd: 0.2500 0.1649 0.1260  2 O 2.04-2.05
Pd: 0.7500 0.8351 0.1260  2 O 2.04-2.05
Pd: 0.2500 0.1649 0.6260  2 O 2.04-2.05
Pd: 0.7500 0.8351 0.6260  2 O 2.04-2.05
Se: 0.0634 0.3773 0.3752  2 Pd 2.45, 2 Ag 2.61-2.67
Se: 0.5634 0.6227 0.3752  2 Pd 2.45, 2 Ag 2.61-2.67
Se: 0.4366 0.3773 0.8752  2 Pd 2.45, 2 Ag 2.61-2.67
Se: 0.9366 0.6227 0.8752  2 Pd 2.45, 2 Ag 2.61-2.67

=====

Record 7
Material: AgPdSeO
Method: DFT, GGA-PBE
State: relaxed

Output
For the volume, the calculation gives 17.5 A^3/atom. The total energy is -0.2838 Ry per atom. For the energy relative to the lowest polymorph listed for this composition, the calculation gives 0.398 eV/atom.

a b c (Å): 3.9582 3.9582 8.9433
angles (deg): 90.00 90.00 90.00
Closest atoms and distances in Å follow each position.
Element x y z (fractional)
Ag: 0.2500 0.2500 0.1559  1 O 2.19
Ag: 0.7500 0.7500 0.8441  1 O 2.19
O: 0.7500 0.7500 0.0891  1 Pd 1.95
O: 0.2500 0.2500 0.9109  1 Pd 1.95
Pd: 0.7500 0.7500 0.3076  1 O 1.95
Pd: 0.2500 0.2500 0.6924  1 O 1.95
Se: 0.7500 0.2500 0.5000  4 Pd 2.62, 4 Se 2.80
Se: 0.2500 0.7500 0.5000  4 Pd 2.62, 4 Se 2.80

=====

Record 8
Material: AgPdSeO
Method: DFT, GGA-PBE
State: relaxed

Output
For the volume, the calculation gives 16.3 A^3/atom. The total energy is -0.3041 Ry per atom. For the energy relative to the lowest polymorph listed for this composition, the calculation gives 0.121 eV/atom.

a b c (Å): 3.8815 3.8815 8.6460
angles (deg): 90.00 90.00 90.00
Closest atoms and distances in Å follow each position.
Element x y z (fractional)
Ag: 0.7500 0.2500 0.0000  4 Ag 2.74, 4 Pd 2.92
Ag: 0.2500 0.7500 0.0000  4 Ag 2.74, 4 Pd 2.92
O: 0.2500 0.2500 0.4953  1 Se 1.69
O: 0.7500 0.7500 0.5047  1 Se 1.69
Pd: 0.7500 0.7500 0.2523  1 O 2.18
Pd: 0.2500 0.2500 0.7477  1 O 2.18
Se: 0.2500 0.2500 0.3002  1 O 1.69
Se: 0.7500 0.7500 0.6998  1 O 1.69

=====

Record 9
Material: AgPdSeO
Method: DFT, GGA-PBE
State: relaxed

Output
For the volume, the calculation gives 16.4 A^3/atom. The total energy is -0.3095 Ry per atom. For the energy relative to the lowest polymorph listed for this composition, the calculation gives 0.048 eV/atom.

a b c (Å): 6.0769 7.2690 5.9368
angles (deg): 90.00 90.00 90.00
Closest atoms and distances in Å follow each position.
Element x y z (fractional)
Ag: 0.3124 0.1538 0.1228  2 O 2.18-2.38
Ag: 0.8124 0.8462 0.1228  2 O 2.18-2.38
Ag: 0.1876 0.1538 0.6228  2 O 2.18-2.38
Ag: 0.6876 0.8462 0.6228  2 O 2.18-2.38
O: 0.6879 0.1150 0.2233  2 Pd 2.12-2.19, 1 Ag 2.18
O: 0.1879 0.8850 0.2233  2 Pd 2.12-2.19, 1 Ag 2.18
O: 0.8121 0.1150 0.7233  2 Pd 2.12-2.19, 1 Ag 2.18
O: 0.3121 0.8850 0.7233  2 Pd 2.12-2.19, 1 Ag 2.18
Pd: 0.8831 0.2875 0.0172  2 O 2.12-2.19
Pd: 0.3831 0.7125 0.0172  2 O 2.12-2.19
Pd: 0.6169 0.2875 0.5172  2 O 2.12-2.19
Pd: 0.1169 0.7125 0.5172  2 O 2.12-2.19
Se: 0.9919 0.4074 0.3867  3 Pd 2.45-2.56, 1 Ag 2.60
Se: 0.4919 0.5926 0.3867  3 Pd 2.45-2.56, 1 Ag 2.60
Se: 0.5081 0.4074 0.8867  3 Pd 2.45-2.56, 1 Ag 2.60
Se: 0.0081 0.5926 0.8867  3 Pd 2.45-2.56, 1 Ag 2.60

=====

Record 10
Material: AgPdSeO
Method: DFT, GGA-PBE
State: relaxed

Output
For the volume, the calculation gives 17.3 A^3/atom. The total energy is -0.3092 Ry per atom. For the energy relative to the lowest polymorph listed for this composition, the calculation gives 0.052 eV/atom.

a b c (Å): 4.3571 4.3571 7.2939
angles (deg): 90.00 90.00 90.00
Closest atoms and distances in Å follow each position.
Element x y z (fractional)
Ag: 0.7500 0.7500 0.2552  1 O 2.18
Ag: 0.2500 0.2500 0.7448  1 O 2.18
O: 0.2500 0.2500 0.4459  1 Se 1.72
O: 0.7500 0.7500 0.5541  1 Se 1.72
Pd: 0.7500 0.2500 0.0000  4 Se 2.67, 4 Ag 2.87
Pd: 0.2500 0.7500 0.0000  4 Se 2.67, 4 Ag 2.87
Se: 0.2500 0.2500 0.2106  1 O 1.72
Se: 0.7500 0.7500 0.7894  1 O 1.72

=====

Record 11
Material: AgPdSeO
Method: DFT, GGA-PBE
State: relaxed

Output
For the volume, the calculation gives 17.9 A^3/atom. The total energy is -0.3130 Ry per atom. For the energy relative to the lowest polymorph listed for this composition, the calculation gives 0.000 eV/atom.

a b c (Å): 6.0272 7.2695 6.5291
angles (deg): 90.00 90.00 90.00
Closest atoms and distances in Å follow each position.
Element x y z (fractional)
Ag: 0.2612 0.1482 0.1718  1 O 2.19
Ag: 0.7388 0.6482 0.3282  1 O 2.19
Ag: 0.2388 0.8518 0.6718  1 O 2.19
Ag: 0.7612 0.3518 0.8282  1 O 2.19
O: 0.6158 0.1167 0.1057  2 Pd 2.02, 1 Ag 2.19
O: 0.3842 0.6167 0.3943  2 Pd 2.02, 1 Ag 2.19
O: 0.8842 0.8833 0.6057  2 Pd 2.02, 1 Ag 2.19
O: 0.1158 0.3833 0.8943  2 Pd 2.02, 1 Ag 2.19
Pd: 0.2312 0.5259 0.1377  2 O 2.02
Pd: 0.7688 0.0259 0.3623  2 O 2.02
Pd: 0.2688 0.4741 0.6377  2 O 2.02
Pd: 0.7312 0.9741 0.8623  2 O 2.02
Se: 0.0220 0.8530 0.1139  3 Pd 2.56-2.70, 2 Ag 2.61-2.66
Se: 0.9780 0.3530 0.3861  3 Pd 2.56-2.70, 2 Ag 2.61-2.66
Se: 0.4780 0.1470 0.6139  3 Pd 2.56-2.70, 2 Ag 2.61-2.66
Se: 0.5220 0.6470 0.8861  3 Pd 2.56-2.70, 2 Ag 2.61-2.66

=====

Record 12
Material: SrAg3Pd4O12
Method: DFT, GGA-PBE
State: relaxed

Output
For the volume, the calculation gives 11.6 A^3/atom. The total energy is -0.3695 Ry per atom.

a b c (Å): 6.6952 6.6952 6.6952
angles (deg): 109.47 109.47 109.47
Closest atoms and distances in Å follow each position.
Element x y z (fractional)
Ag: 0.5000 0.5000 0.0000  4 O 2.06
Ag: 0.5000 0.0000 0.5000  4 O 2.06
Ag: 0.0000 0.5000 0.5000  4 O 2.06
O: 0.8241 0.3006 0.1247  2 Pd 2.05, 1 Ag 2.06
O: 0.3006 0.4765 0.1759  2 Pd 2.05, 1 Ag 2.06
O: 0.6994 0.8753 0.1759  2 Pd 2.05, 1 Ag 2.06
O: 0.4765 0.1759 0.3006  2 Pd 2.05, 1 Ag 2.06
O: 0.1247 0.8241 0.3006  2 Pd 2.05, 1 Ag 2.06
O: 0.1759 0.3006 0.4765  2 Pd 2.05, 1 Ag 2.06
O: 0.8241 0.6994 0.5235  2 Pd 2.05, 1 Ag 2.06
O: 0.8753 0.1759 0.6994  2 Pd 2.05, 1 Ag 2.06
O: 0.5235 0.8241 0.6994  2 Pd 2.05, 1 Ag 2.06
O: 0.3006 0.1247 0.8241  2 Pd 2.05, 1 Ag 2.06
O: 0.6994 0.5235 0.8241  2 Pd 2.05, 1 Ag 2.06
O: 0.1759 0.6994 0.8753  2 Pd 2.05, 1 Ag 2.06
Pd: 0.5000 0.0000 0.0000  6 O 2.05
Pd: 0.0000 0.5000 0.0000  6 O 2.05
Pd: 0.0000 0.0000 0.5000  6 O 2.05
Pd: 0.5000 0.5000 0.5000  6 O 2.05
Sr: 0.0000 0.0000 0.0000  12 O 2.69